{"formula": "Cs2ScCdF6", "functional": "PBE", "state": "optimized geometry", "cell": [[6.318, 0.000, 0.000], [0.000, 6.318, 0.000], [3.159, 3.159, 4.465]], "species": ["Cs", "Cs", "Sc", "F", "F", "F", "F", "F", "F", "Cd"], "fractional_positions": [[0.750, 0.250, 0.500], [0.250, 0.750, 0.500], [0.500, 0.500, 0.000], [0.274, 0.274, 0.451], [0.726, 0.726, 0.549], [0.274, 0.274, 0.000], [0.726, 0.726, 0.000], [0.726, 0.274, 0.000], [0.274, 0.726, 0.000], [0.000, 0.000, 0.000]], "e_form_raw_ev_per_atom": -2.92, "dft_energy_ev_per_atom": -4.9338}